Record 1
Compound: CaCuAg2Te
Source: Alexandria
Functional: PBE-GGA
Structure: relaxed

Cell lengths 4.8383, 5.4700, 4.8383 Å; angles 90.00, 90.00, 90.00 degrees
With the nearest neighbours (Å) after each atom.
Fractional positions:
Ag 0.5000 0.0000 0.0000  2 Cu 2.42
Te 0.5000 0.5000 0.5000  4 Ca 3.42, 8 Ag 3.65
Cu 0.0000 0.0000 0.0000  4 Ag 2.42
Ca 0.0000 0.5000 0.0000  2 Cu 2.74
Ag 0.0000 0.0000 0.5000  2 Cu 2.42

Computed properties:
- Total moment: 0.00 μB per formula unit
- Formation energy (no corrections): -0.015 eV per atom


Record 2
Compound: Ca2VCuAg
Source: Alexandria
Functional: PBE-GGA
Structure: relaxed

Cell lengths 5.5785, 4.7856, 5.5785 Å; angles 90.00, 90.00, 90.00 degrees
With the nearest neighbours (Å) after each atom.
Fractional positions:
Ca 0.5000 0.0000 0.0000  2 Ag 2.79
V 0.5000 0.5000 0.5000  8 Ca 3.67, 4 Cu 3.94
Cu 0.0000 0.5000 0.0000  2 Ag 2.39
Ag 0.0000 0.0000 0.0000  2 Cu 2.39
Ca 0.0000 0.0000 0.5000  2 Ag 2.79

Computed properties:
- E: -3.31 eV per atom
- Total moment: 4.33 μB per formula unit


Record 3
Compound: Ca2Zn3CuAg12
Source: Alexandria
Functional: PBE-GGA
Structure: relaxed

Cell lengths 10.1850, 10.1850, 10.1850 Å; angles 40.07, 40.07, 40.07 degrees
With the nearest neighbours (Å) after each atom.
Fractional positions:
Zn 0.0000 0.5000 0.0000  6 Ag 2.60-2.82
Ag 0.6439 0.0782 0.0782  1 Cu 2.56, 2 Ag 2.79, 1 Zn 2.82
Ag 0.9218 0.3561 0.9218  1 Cu 2.56, 2 Ag 2.79, 1 Zn 2.82
Ag 0.1869 0.5864 0.5864  2 Zn 2.60, 4 Ag 2.79
Ag 0.9218 0.9218 0.3561  1 Cu 2.56, 2 Ag 2.79, 1 Zn 2.82
Ag 0.4136 0.4136 0.8131  2 Zn 2.60, 4 Ag 2.79
Ca 0.6485 0.6485 0.6485  6 Ag 3.28-3.29
Ag 0.5864 0.5864 0.1869  2 Zn 2.60, 4 Ag 2.79
Ag 0.0782 0.0782 0.6439  1 Cu 2.56, 2 Ag 2.79, 1 Zn 2.82
Ag 0.5864 0.1869 0.5864  2 Zn 2.60, 4 Ag 2.79
Zn 0.0000 0.0000 0.5000  6 Ag 2.60-2.82
Ag 0.0782 0.6439 0.0782  1 Cu 2.56, 2 Ag 2.79, 1 Zn 2.82
Cu 0.0000 0.0000 0.0000  6 Ag 2.56
Ag 0.8131 0.4136 0.4136  2 Zn 2.60, 4 Ag 2.79
Ca 0.3515 0.3515 0.3515  6 Ag 3.28-3.29
Ag 0.4136 0.8131 0.4136  2 Zn 2.60, 4 Ag 2.79
Ag 0.3561 0.9218 0.9218  1 Cu 2.56, 2 Ag 2.79, 1 Zn 2.82
Zn 0.5000 0.0000 0.0000  6 Ag 2.60-2.82

Computed properties:
- E: -2.47 eV per atom
- Total moment: 0.00 μB per formula unit